1.
Ca2SnW2: optimized geometry, PBE-GGA.

Results
Formation enthalpy at 0 K, meV/atom: 1316

Cell: 4.368 4.368 13.637 Å, 90.00 90.00 90.00°
Space group I4/mmm (No. 139)
Inequivalent atoms, fractional coordinates:
Ca 0.000 0.500 0.250 [4 per cell]
Sn 0.000 0.000 0.000 [2 per cell]
W 0.000 0.000 0.419 [4 per cell]

***

2.
In2AsPd3: optimized geometry, PBE-GGA.

Results
Formation enthalpy at 0 K, meV/atom: -332

Cell: 12.100 5.714 6.783 Å, 90.00 107.02 90.00°
Space group C2/c (No. 15)
Inequivalent atoms, fractional coordinates:
In 0.183 0.005 0.090 [8 per cell]
As 0.000 0.284 0.750 [4 per cell]
Pd 0.000 0.164 0.250 [4 per cell]
Pd 0.125 0.497 0.563 [8 per cell]

***

3.
Cs2SrPdBr6: optimized geometry, PBE-GGA.

Cell: 11.402 11.402 11.402 Å, 90.00 90.00 90.00°
Space group Fm-3m (No. 225)
Inequivalent atoms, fractional coordinates:
Cs 0.250 0.250 0.250 [8 per cell]
Sr 0.000 0.000 0.000 [4 per cell]
Pd 0.000 0.000 0.500 [4 per cell]
Br 0.000 0.000 0.264 [24 per cell]

***

4.
Li5Mg5Ag2: optimized geometry, PBE-GGA.

Results
Formation enthalpy at 0 K, meV/atom: -123

Cell: 13.402 4.051 9.544 Å, 90.00 117.64 90.00°
Space group C2/m (No. 12)
Inequivalent atoms, fractional coordinates:
Li 0.000 0.000 0.000 [2 per cell]
Li 0.164 0.000 0.507 [4 per cell]
Li 0.241 0.500 0.742 [4 per cell]
Mg 0.000 0.500 0.500 [2 per cell]
Mg 0.082 0.500 0.256 [4 per cell]
Mg 0.167 0.500 0.002 [4 per cell]
Ag 0.085 0.000 0.756 [4 per cell]

***

5.
Pr2YTi: optimized geometry, PBE-GGA.

Results
Formation enthalpy at 0 K, meV/atom: 468

Cell: 3.4256 3.4256 36.1069 Å, 90.00 90.00 120.00°
Space group R-3m (No. 166, hexagonal axes)
Inequivalent atoms, fractional coordinates:
Pr 0.0000 0.0000 0.0821 [6 per cell]
Y 0.0000 0.0000 0.5000 [3 per cell]
Ti 0.0000 0.0000 0.0000 [3 per cell]

***

6.
YCoPb2: optimized geometry, PBE-GGA.

Results
Formation enthalpy at 0 K, meV/atom: 150

Cell: 7.197 7.197 7.197 Å, 90.00 90.00 90.00°
Space group Fm-3m (No. 225)
Inequivalent atoms, fractional coordinates:
Y 0.000 0.000 0.000 [4 per cell]
Co 0.000 0.000 0.500 [4 per cell]
Pb 0.250 0.250 0.250 [8 per cell]

***

7.
Tm6Tl5Au: optimized geometry, PBE-GGA.

Results
Formation enthalpy at 0 K, meV/atom: -377

Cell: 5.260 7.470 8.312 Å, 90.00 108.26 90.00°
Space group P2/m (No. 10)
Inequivalent atoms, fractional coordinates:
Tm 0.000 0.239 0.000 [2 per cell]
Tm 0.339 0.244 0.678 [4 per cell]
Tl 0.168 0.000 0.335 [2 per cell]
Tl 0.169 0.500 0.337 [2 per cell]
Tl 0.500 0.500 0.000 [1 per cell]
Au 0.500 0.000 0.000 [1 per cell]

***

8.
Cs3Dy2F9: optimized geometry, PBE-GGA.

Cell: 11.7520 11.7520 15.1901 Å, 90.00 90.00 120.00°
Space group R-3c (No. 167, hexagonal axes)
Inequivalent atoms, fractional coordinates:
Cs 0.0000 0.3353 0.2500 [18 per cell]
Dy 0.0000 0.0000 0.1400 [12 per cell]
F 0.0000 0.1331 0.7500 [18 per cell]
F 0.0099 0.1705 0.4150 [36 per cell]

***

| no. | volume (Å³/cell) | total magnetic moment (μB per cell) | uncorrected energy (eV/atom) |
| --- | --- | --- | --- |
| 1 | 260.2 | 0.0 | -5.466 |
| 2 | 448.4 | 0.0 | -4.616 |
| 3 | 1482.3 | 8.0 | -3.243 |
| 4 | 459.1 | 0.0 | -2.060 |
| 5 | 366.9 | 4.2 | -5.511 |
| 6 | 372.8 | 4.4 | -5.097 |
| 7 | 310.2 | 0.0 | -3.871 |
| 8 | 1816.8 | 2.2 | -5.577 |